(1)
Compound: Be2Re2Pd
Source: the Alexandria database
Functional: GGA-PBE
Structure: optimized geometry

Cell: 5.9610 5.9610 3.3264 Å, 90.00 90.00 90.00°
With the nearest neighbours (Å) after each atom.
Space group P4/mbm (No. 127)
Inequivalent atoms, fractional coordinates:
1 Be 0.1216 0.3784 0.0000 (multiplicity 4)  1 Be 2.05
2 Re 0.1716 0.6716 0.5000 (multiplicity 4)  6 Be 2.41-2.43
3 Pd 0.0000 0.0000 0.0000 (multiplicity 2)  4 Be 2.37

Energy of formation from the pure elements   -60 meV/atom
Total energy   -7.568 eV/atom
Crystal system   tetragonal
M_tot   0.0 μB per formula unit
Density   13.96 g cm⁻³


(2)
Compound: Be2RePd2
Source: the Alexandria database
Functional: GGA-PBE
Structure: optimized geometry

Cell: 3.6256 3.6256 9.5920 Å, 90.00 90.00 90.00°
With the nearest neighbours (Å) after each atom.
Space group I4/mmm (No. 139)
Inequivalent atoms, fractional coordinates:
1 Be 0.0000 0.0000 0.1036 (multiplicity 4)  1 Be 1.99
2 Re 0.0000 0.0000 0.5000 (multiplicity 2)  8 Be 2.75, 8 Pd 3.01
3 Pd 0.0000 0.5000 0.2500 (multiplicity 4)  4 Be 2.29, 4 Pd 2.56

Energy of formation from the pure elements   236 meV/atom
Total energy   -5.821 eV/atom
Crystal system   tetragonal
M_tot   0.0 μB per formula unit
Density   10.99 g cm⁻³


(3)
Compound: Be3RePd
Source: the Alexandria database
Functional: GGA-PBE
Structure: optimized geometry

Cell: 4.0231 4.0231 4.0231 Å, 90.00 90.00 90.00°
With the nearest neighbours (Å) after each atom.
Space group Pm-3m (No. 221)
Inequivalent atoms, fractional coordinates:
1 Be 0.0000 0.0000 0.5000 (multiplicity 3)  2 Pd 2.01
2 Re 0.5000 0.5000 0.5000 (multiplicity 1)  12 Be 2.84
3 Pd 0.0000 0.0000 0.0000 (multiplicity 1)  6 Be 2.01

Energy of formation from the pure elements   888 meV/atom
Total energy   -4.876 eV/atom
Crystal system   cubic
M_tot   0.9 μB per formula unit
Density   8.15 g cm⁻³


(4)
Compound: Be2RePdRh
Source: the Alexandria database
Functional: GGA-PBE
Structure: optimized geometry

Cell: 3.9889 3.9889 4.9519 Å, 90.00 90.00 90.00°
With the nearest neighbours (Å) after each atom.
Space group P4/mmm (No. 123)
Inequivalent atoms, fractional coordinates:
1 Be 0.0000 0.5000 0.0000 (multiplicity 2)  2 Rh 1.99
2 Re 0.0000 0.0000 0.5000 (multiplicity 1)  4 Pd 2.82
3 Pd 0.5000 0.5000 0.5000 (multiplicity 1)  2 Rh 2.48
4 Rh 0.5000 0.5000 0.0000 (multiplicity 1)  4 Be 1.99

Energy of formation from the pure elements   1173 meV/atom
Total energy   -5.316 eV/atom
Crystal system   tetragonal
M_tot   3.1 μB per formula unit
Density   8.72 g cm⁻³